No. 1
The following is a PBE calculation of an optimized crystal structure of Li12Ca, from Alexandria.

Calculated formation energy   1.9 kJ/mol of atoms
Crystal system   tetragonal

a b c (Å): 5.577 7.699 7.699
angles (deg): 82.46 68.76 68.76
Atoms (fractional coordinates):
Li: 0.358 0.642 0.642
Li: 0.283 0.217 0.217
Li: 0.000 0.500 0.000
Li: 0.000 0.000 0.500
Li: 0.500 0.000 0.500
Li: 0.500 0.783 0.217
Li: 0.642 0.358 0.358
Li: 0.000 0.358 0.642
Li: 0.000 0.642 0.358
Li: 0.500 0.217 0.783
Li: 0.717 0.783 0.783
Li: 0.500 0.500 0.000
Ca: 0.000 0.000 0.000


No. 2
The following is a PBE calculation of an optimized crystal structure of PmYOsPt, from Alexandria.

Calculated formation energy   -52.0 kJ/mol of atoms
Crystal system   cubic

a b c (Å): 4.944 4.944 4.944
angles (deg): 60.00 60.00 60.00
Atoms (fractional coordinates):
Os: 0.250 0.250 0.250
Y: 0.500 0.500 0.500
Pm: 0.000 0.000 0.000
Pt: 0.750 0.750 0.750


No. 3
The following is a PBE calculation of an optimized crystal structure of La5Hg2Cl, from Alexandria.

Crystal system   orthorhombic
Formation energy without anion corrections   -634 meV per atom

a b c (Å): 9.671 8.258 12.767
angles (deg): 90.00 90.00 90.00
Atoms (fractional coordinates):
Hg: 0.906 0.001 0.684
Hg: 0.594 0.499 0.184
Hg: 0.094 0.999 0.316
Hg: 0.594 0.001 0.184
Hg: 0.906 0.499 0.684
Hg: 0.406 0.501 0.816
Hg: 0.094 0.501 0.316
Hg: 0.406 0.999 0.816
La: 0.137 0.750 0.794
La: 0.304 0.000 0.563
La: 0.863 0.250 0.206
La: 0.696 0.500 0.437
La: 0.696 0.000 0.437
La: 0.196 0.500 0.063
La: 0.363 0.750 0.294
La: 0.196 0.000 0.063
La: 0.304 0.500 0.563
La: 0.000 0.750 0.500
La: 0.804 0.000 0.937
La: 0.500 0.250 0.000
La: 0.000 0.250 0.500
La: 0.137 0.250 0.794
La: 0.637 0.750 0.706
La: 0.637 0.250 0.706
La: 0.500 0.750 0.000
La: 0.804 0.500 0.937
La: 0.863 0.750 0.206
La: 0.363 0.250 0.294
Cl: 0.500 0.750 0.500
Cl: 0.500 0.250 0.500
Cl: 0.000 0.250 0.000
Cl: 0.000 0.750 0.000


No. 4
The following is a PBE calculation of an optimized crystal structure of Ti6NO2, from Alexandria.

Crystal system   orthorhombic
Formation energy without anion corrections   -1640 meV per atom

a b c (Å): 4.761 5.184 8.986
angles (deg): 90.00 90.00 90.00
Atoms (fractional coordinates):
O: 0.000 0.500 0.338
O: 0.500 0.000 0.162
O: 0.000 0.500 0.662
O: 0.500 0.000 0.838
Ti: 0.741 0.326 0.500
Ti: 0.752 0.338 0.167
Ti: 0.259 0.674 0.500
Ti: 0.752 0.338 0.833
Ti: 0.759 0.826 0.000
Ti: 0.748 0.838 0.333
Ti: 0.252 0.162 0.667
Ti: 0.248 0.662 0.833
Ti: 0.252 0.162 0.333
Ti: 0.241 0.174 0.000
Ti: 0.248 0.662 0.167
Ti: 0.748 0.838 0.667
N: 0.000 0.000 0.500
N: 0.500 0.500 0.000


No. 5
The following is a PBE calculation of an optimized crystal structure of Tm6Sb3PbSe2, from Alexandria.

Crystal system   monoclinic
Formation energy without anion corrections   -1174 meV per atom

a b c (Å): 7.363 7.363 7.361
angles (deg): 99.62 99.62 119.88
Atoms (fractional coordinates):
Pb: 0.000 0.000 0.000
Se: 0.667 0.333 0.000
Se: 0.333 0.667 0.000
Tm: 0.740 0.740 0.241
Tm: 0.082 0.421 0.246
Tm: 0.260 0.260 0.759
Tm: 0.421 0.082 0.246
Tm: 0.918 0.579 0.754
Tm: 0.579 0.918 0.754
Sb: 0.164 0.836 0.500
Sb: 0.500 0.500 0.500
Sb: 0.836 0.164 0.500


No. 6
The following is a PBE calculation of an optimized crystal structure of Ac2ZnRh4Pb3, from Alexandria.

Calculated formation energy   -39.9 kJ/mol of atoms
Crystal system   tetragonal

a b c (Å): 4.521 4.521 11.437
angles (deg): 90.00 90.00 90.00
Atoms (fractional coordinates):
Zn: 0.500 0.500 0.500
Pb: 0.000 0.000 0.500
Pb: 0.000 0.500 0.130
Pb: 0.500 0.000 0.870
Rh: 0.500 0.000 0.632
Rh: 0.500 0.500 0.000
Rh: 0.000 0.500 0.368
Rh: 0.000 0.000 0.000
Ac: 0.500 0.000 0.257
Ac: 0.000 0.500 0.743